Entry 1:
# NbAl2Ir, relaxed, DFT PBE
data_NbAl2Ir
_chemical_formula_sum 'Nb4 Al8 Ir4'
_cell_length_a 6.259
_cell_length_b 6.259
_cell_length_c 6.259
_cell_angle_alpha 90.00
_cell_angle_beta 90.00
_cell_angle_gamma 90.00
_symmetry_space_group_name_H-M 'F m -3 m'
_symmetry_Int_Tables_number 225
_symmetry_space_group_name_Hall '-F 4 2 3'
loop_
_atom_site_label
_atom_site_type_symbol
_atom_site_fract_x
_atom_site_fract_y
_atom_site_fract_z
Nb1 Nb 0.000 0.000 0.000
Al1 Al 0.250 0.250 0.250
Ir1 Ir 0.000 0.000 0.500
# Formation enthalpy at 0 K   -0.410 eV per atom
# Calculated density   9.19 g cm⁻³
# Total magnetic moment   2.2 μB per formula unit
# Fermi-level density of states   0.462 states/eV/atom

Entry 2:
# Nb2AlIr, relaxed, DFT PBE
data_Nb2AlIr
_chemical_formula_sum 'Nb2 Al1 Ir1'
_cell_length_a 2.885
_cell_length_b 4.112
_cell_length_c 5.508
_cell_angle_alpha 90.00
_cell_angle_beta 90.07
_cell_angle_gamma 90.00
_symmetry_space_group_name_H-M 'P 1 2/m 1'
_symmetry_Int_Tables_number 10
loop_
_symmetry_equiv_pos_as_xyz
'x,y,z'
'-x,-y,-z'
'-x,y,-z'
'x,-y,z'
loop_
_atom_site_label
_atom_site_type_symbol
_atom_site_fract_x
_atom_site_fract_y
_atom_site_fract_z
Nb1 Nb 0.004 0.000 0.248
Al1 Al 0.500 0.500 0.500
Ir1 Ir 0.500 0.500 0.000
# Formation enthalpy at 0 K   -0.464 eV per atom
# Calculated density   10.29 g cm⁻³
# Total magnetic moment   0.0 μB per formula unit
# Fermi-level density of states   0.609 states/eV/atom

Entry 3:
# NbAlIr3, relaxed, DFT PBE
data_NbAlIr3
_chemical_formula_sum 'Nb1 Al1 Ir3'
_cell_length_a 4.766
_cell_length_b 4.766
_cell_length_c 4.766
_cell_angle_alpha 90.00
_cell_angle_beta 90.00
_cell_angle_gamma 90.00
_symmetry_space_group_name_H-M 'P m -3 m'
_symmetry_Int_Tables_number 221
_symmetry_space_group_name_Hall '-P 4 2 3'
loop_
_atom_site_label
_atom_site_type_symbol
_atom_site_fract_x
_atom_site_fract_y
_atom_site_fract_z
Nb1 Nb 0.000 0.000 0.000
Al1 Al 0.500 0.500 0.500
Ir1 Ir 0.000 0.000 0.500
# Formation enthalpy at 0 K   1.451 eV per atom
# Calculated density   10.68 g cm⁻³
# Total magnetic moment   0.0 μB per formula unit
# Fermi-level density of states   1.273 states/eV/atom

Entry 4:
# Nb2AlIr, relaxed, DFT PBE
data_Nb2AlIr
_chemical_formula_sum 'Nb2 Al1 Ir1'
_cell_length_a 3.926
_cell_length_b 3.926
_cell_length_c 4.248
_cell_angle_alpha 90.00
_cell_angle_beta 90.00
_cell_angle_gamma 90.00
_symmetry_space_group_name_H-M 'P 4/m m m'
_symmetry_Int_Tables_number 123
_symmetry_space_group_name_Hall '-P 4 2'
loop_
_atom_site_label
_atom_site_type_symbol
_atom_site_fract_x
_atom_site_fract_y
_atom_site_fract_z
Nb1 Nb 0.000 0.500 0.000
Al1 Al 0.000 0.000 0.500
Ir1 Ir 0.500 0.500 0.500
# Formation enthalpy at 0 K   -0.420 eV per atom
# Calculated density   10.27 g cm⁻³
# Total magnetic moment   0.0 μB per formula unit
# Fermi-level density of states   0.989 states/eV/atom

> The lowest formation enthalpy at 0 K belongs to which entry?

number 2